Density functional theory data (PBE+U) for a relaxed structure of CrCdI2O.

Geometry as POSCAR:
```
CrCdI2O
1.0
5.851 0.000 0.000
0.000 5.851 0.000
0.000 0.000 3.740
Cr Cd I O
1 1 2 1
Cartesian
0.000 0.000 0.000
2.925 2.925 1.870
0.000 2.925 0.000
2.925 0.000 0.000
0.000 0.000 1.870
```

Values from the calculation:
Relative energy among the computed polymorphs (meV per atom): 0
Crystal system: tetragonal
M_tot (μB per atom): 0.6315
Fermi-level density of states (states/eV per atom): 0.5049
DFT total energy (eV/cell): -18.9
Space group: P4/mmm